## In5Hg3Bi3 (PBE-GGA)

Data for a relaxed In5Hg3Bi3 crystal.

Cell lengths 4.458, 9.776, 9.776 Å; angles 120.00, 90.00, 90.00 degrees
Element x y z (fractional)
1 Hg 0.500 0.000 0.784
2 In 0.500 0.000 0.333
3 In 0.500 0.333 0.000
4 In 0.500 0.333 0.667
5 Bi 0.000 0.000 0.536
6 In 0.500 0.667 0.667
7 Bi 0.000 0.536 0.000
8 Bi 0.000 0.464 0.464
9 Hg 0.500 0.784 0.000
10 Hg 0.500 0.216 0.216
11 In 0.500 0.667 0.333

Computed properties:
The size of the total moment is 0.0 μB/cell. As for the theoretical density: 8.11 g/cm³. The calculation puts the final energy at -2.2626 eV per atom.

## InHgBi2 (PBE-GGA)

Data for a relaxed InHgBi2 crystal.

Cell lengths 4.362, 4.362, 7.889 Å; angles 73.95, 73.95, 60.00 degrees
Element x y z (fractional)
1 Bi 0.250 0.250 0.250
2 Bi 0.750 0.750 0.750
3 Hg 0.500 0.500 0.500
4 In 0.000 0.000 0.000

Computed properties:
The size of the total moment is 0.0 μB/cell. As for the theoretical density: 9.88 g/cm³. The calculation puts the final energy at -2.5778 eV per atom.

## In5Hg12Bi (PBE-GGA)

Data for a relaxed In5Hg12Bi crystal.

Cell lengths 5.717, 5.875, 19.653 Å; angles 75.85, 59.83, 60.88 degrees
Element x y z (fractional)
1 Hg 0.214 0.333 0.661
2 Hg 0.453 0.333 0.339
3 In 0.500 0.000 0.500
4 Bi 0.000 0.000 0.000
5 Hg 0.965 0.669 0.821
6 Hg 0.786 0.667 0.339
7 Hg 0.884 0.000 0.660
8 In 0.669 0.663 0.000
9 Hg 0.690 0.000 0.184
10 Hg 0.548 0.667 0.661
11 In 0.331 0.337 0.000
12 Hg 0.035 0.331 0.179
13 In 0.167 0.666 0.500
14 Hg 0.310 0.000 0.816
15 Hg 0.116 0.000 0.340
16 In 0.833 0.334 0.500
17 Hg 0.366 0.669 0.179
18 Hg 0.634 0.331 0.821

Computed properties:
The size of the total moment is 0.0 μB/cell. As for the theoretical density: 10.62 g/cm³. The calculation puts the final energy at -1.1667 eV per atom.